DFT (PBE) results for a relaxed structure of LiCdTeN2.

Summary:
Raw formation energy   1455 meV/atom
Crystal system   tetragonal
DOS(E_F)   3.14 states/eV per cell

Unit cell a=4.2149 b=4.2149 c=5.6283 alpha=90.00 beta=90.00 gamma=90.00
Closest atoms and distances in Å follow each position.
Fractional positions:
1 Li 0.0000 0.0000 0.0000  4 N 2.11
2 Cd 0.5000 0.5000 0.5000  4 Te 2.98
3 Te 0.0000 0.0000 0.5000  2 Li 2.81, 4 Cd 2.98
4 N 0.0000 0.5000 0.0000  2 Li 2.11
5 N 0.5000 0.0000 0.0000  2 Li 2.11



DFT (PBE) results for a relaxed structure of LiY2CdN.

Summary:
Raw formation energy   -678 meV/atom
Crystal system   tetragonal
DOS(E_F)   4.43 states/eV per cell

Unit cell a=4.7799 b=4.7799 c=4.4362 alpha=90.00 beta=90.00 gamma=90.00
Closest atoms and distances in Å follow each position.
Fractional positions:
1 Li 0.0000 0.0000 0.0000  2 N 2.22
2 Y 0.0000 0.5000 0.5000  2 N 2.39
3 Y 0.5000 0.0000 0.5000  2 N 2.39
4 Cd 0.5000 0.5000 0.0000  8 Y 3.26, 4 Li 3.38
5 N 0.0000 0.0000 0.5000  2 Li 2.22, 4 Y 2.39